1.
Computed, not measured: an optimized crystal structure of DyBRh6 at the PBE level of DFT. Values from VASP.

Calculated values
- E_form: -213 meV per atom
- Total magnetic moment: 0.00 μB per formula unit

The structure in Quantum ESPRESSO input format:
```
&SYSTEM
  ibrav = 0, nat = 8, ntyp = 3
/
ATOMIC_SPECIES
Dy 162.50 Dy.upf
B 10.81 B.upf
Rh 102.91 Rh.upf
CELL_PARAMETERS angstrom
-4.5167 -2.9977 -1.3619
0.3741 -5.5561 -0.4807
-2.4521 -3.3201 3.9703
ATOMIC_POSITIONS crystal
Dy 0.5000 0.5000 0.5000
B 0.0000 0.0000 0.0000
Rh 0.9012 0.9012 0.7636
Rh 0.4340 0.9012 0.7636
Rh 0.0988 0.5660 0.2364
Rh 0.5660 0.0988 0.2364
Rh 0.0988 0.0988 0.2364
Rh 0.9012 0.4340 0.7636
```

2.
Computed, not measured: an optimized crystal structure of DyB4Rh6 at the PBE level of DFT. Values from VASP.

Calculated values
- E_form: -373 meV per atom
- Total magnetic moment: 0.00 μB per formula unit

The structure in Quantum ESPRESSO input format:
```
&SYSTEM
  ibrav = 0, nat = 11, ntyp = 3
/
ATOMIC_SPECIES
Dy 162.50 Dy.upf
B 10.81 B.upf
Rh 102.91 Rh.upf
CELL_PARAMETERS angstrom
5.7584 -0.1615 -0.2375
-2.8056 5.0313 0.2375
-2.8056 -1.6289 4.7662
ATOMIC_POSITIONS crystal
Dy 0.0000 0.0000 0.0000
B 0.0000 0.2789 0.5772
B 0.7017 0.4228 0.4228
B 0.0000 0.5772 0.2789
B 0.2983 0.7211 0.7211
Rh 0.0000 0.8956 0.5287
Rh 0.0000 0.5287 0.8956
Rh 0.6331 0.1044 0.1044
Rh 0.5000 0.0000 0.5000
Rh 0.3669 0.4713 0.4713
Rh 0.5000 0.5000 0.0000
```

3.
Computed, not measured: an optimized crystal structure of Dy2B10Rh at the PBE level of DFT. Values from VASP.

Calculated values
- E_form: -521 meV per atom
- Total magnetic moment: 0.00 μB per formula unit

The structure in Quantum ESPRESSO input format:
```
&SYSTEM
  ibrav = 0, nat = 26, ntyp = 3
/
ATOMIC_SPECIES
Dy 162.50 Dy.upf
B 10.81 B.upf
Rh 102.91 Rh.upf
CELL_PARAMETERS angstrom
4.1596 0.0000 0.0000
0.0000 5.6795 0.0000
0.0000 0.0000 11.3017
ATOMIC_POSITIONS crystal
Dy 0.5000 0.2997 0.8638
Dy 0.5000 0.7003 0.1362
Dy 0.5000 0.7997 0.6362
Dy 0.5000 0.2003 0.3638
B 0.0000 0.1187 0.5424
B 0.0000 0.8813 0.4576
B 0.0000 0.6187 0.9576
B 0.0000 0.3813 0.0424
B 0.0000 0.1373 0.6976
B 0.0000 0.8627 0.3024
B 0.3016 0.2196 0.1191
B 0.3016 0.7804 0.8809
B 0.6984 0.7196 0.3809
B 0.6984 0.2804 0.6191
B 0.6984 0.7804 0.8809
B 0.6984 0.2196 0.1191
B 0.3016 0.2804 0.6191
B 0.3016 0.7196 0.3809
B 0.0000 0.0551 0.1929
B 0.0000 0.9449 0.8071
B 0.0000 0.5551 0.3071
B 0.0000 0.4449 0.6929
B 0.0000 0.3627 0.1976
B 0.0000 0.6373 0.8024
Rh 0.0000 0.5000 0.5000
Rh 0.0000 0.0000 0.0000
```

4.
Computed, not measured: an optimized crystal structure of DyB2Rh3 at the PBE level of DFT. Values from VASP.

Calculated values
- E_form: -712 meV per atom
- Total magnetic moment: 0.00 μB per formula unit

The structure in Quantum ESPRESSO input format:
```
&SYSTEM
  ibrav = 0, nat = 6, ntyp = 3
/
ATOMIC_SPECIES
Dy 162.50 Dy.upf
B 10.81 B.upf
Rh 102.91 Rh.upf
CELL_PARAMETERS angstrom
-1.5265 4.3124 -2.9207
0.3631 -4.8787 -2.3503
-2.9938 -0.5707 0.7221
ATOMIC_POSITIONS crystal
Dy 0.0000 0.0000 0.5000
B 0.6667 0.3333 0.5000
B 0.3333 0.6667 0.5000
Rh 0.0000 0.5000 0.0000
Rh 0.5000 0.5000 0.0000
Rh 0.5000 0.0000 0.0000
```

5.
Computed, not measured: an optimized crystal structure of Dy2BRh6 at the PBE level of DFT. Values from VASP.

Calculated values
- E_form: -247 meV per atom
- Total magnetic moment: 0.00 μB per formula unit

The structure in Quantum ESPRESSO input format:
```
&SYSTEM
  ibrav = 0, nat = 9, ntyp = 3
/
ATOMIC_SPECIES
Dy 162.50 Dy.upf
B 10.81 B.upf
Rh 102.91 Rh.upf
CELL_PARAMETERS angstrom
3.1731 0.0000 0.3034
0.0000 7.2728 0.0000
-0.6325 -3.6364 6.6070
ATOMIC_POSITIONS crystal
Dy 0.5001 0.6553 0.3106
Dy 0.4999 0.3447 0.6894
B 0.0000 0.0000 0.0000
Rh 0.0001 0.3394 0.3238
Rh 0.9999 0.0156 0.6762
Rh 0.9999 0.6606 0.6762
Rh 0.5000 0.1949 0.0000
Rh 0.0001 0.9844 0.3238
Rh 0.5000 0.8051 0.0000
```

6.
Computed, not measured: an optimized crystal structure of Dy4B3SbRh12 at the PBE level of DFT. Values from VASP.

Calculated values
- Total magnetic moment: 0.00 μB per formula unit
- Raw formation energy: -606 meV per atom

The structure in Quantum ESPRESSO input format:
```
&SYSTEM
  ibrav = 0, nat = 20, ntyp = 4
/
ATOMIC_SPECIES
Dy 162.50 Dy.upf
B 10.81 B.upf
Sb 121.76 Sb.upf
Rh 102.91 Rh.upf
CELL_PARAMETERS angstrom
-6.6094 2.3794 2.7433
-0.8138 -1.8516 -7.2651
2.3098 -6.0345 3.8886
ATOMIC_POSITIONS crystal
Dy 0.5000 0.5000 0.5000
Dy 0.0000 0.0000 0.5000
Dy 0.5000 0.0000 0.0000
Dy 0.0000 0.5000 0.0000
B 0.5000 0.0000 0.5000
B 0.5000 0.5000 0.0000
B 0.0000 0.5000 0.5000
Sb 0.0000 0.0000 0.0000
Rh 0.2500 0.5000 0.7500
Rh 0.7229 0.0000 0.7229
Rh 0.2771 0.0000 0.2771
Rh 0.7500 0.5000 0.2500
Rh 0.7229 0.7229 0.0000
Rh 0.2771 0.2771 0.0000
Rh 0.7500 0.2500 0.5000
Rh 0.2500 0.7500 0.5000
Rh 0.5000 0.2500 0.7500
Rh 0.0000 0.7229 0.7229
Rh 0.5000 0.7500 0.2500
Rh 0.0000 0.2771 0.2771
```

7.
Computed, not measured: an optimized crystal structure of Dy3B2SbRh9 at the PBE level of DFT. Values from VASP.

Calculated values
- Total magnetic moment: 0.00 μB per formula unit
- Raw formation energy: -629 meV per atom

The structure in Quantum ESPRESSO input format:
```
&SYSTEM
  ibrav = 0, nat = 15, ntyp = 4
/
ATOMIC_SPECIES
Dy 162.50 Dy.upf
B 10.81 B.upf
Sb 121.76 Sb.upf
Rh 102.91 Rh.upf
CELL_PARAMETERS angstrom
5.8679 0.0000 0.0000
-2.9340 5.0818 0.0000
0.0000 0.0000 8.7242
ATOMIC_POSITIONS crystal
Dy 0.3333 0.6667 0.6939
Dy 0.0000 0.0000 0.0000
Dy 0.6667 0.3333 0.3061
B 0.3333 0.6667 0.1454
B 0.6667 0.3333 0.8546
Sb 0.0000 0.0000 0.5000
Rh 0.8370 0.1630 0.7299
Rh 0.8370 0.6740 0.7299
Rh 0.3260 0.1630 0.7299
Rh 0.6740 0.8370 0.2701
Rh 0.1630 0.3260 0.2701
Rh 0.1630 0.8370 0.2701
Rh 0.5000 0.0000 0.0000
Rh 0.0000 0.5000 0.0000
Rh 0.5000 0.5000 0.0000
```

8.
Computed, not measured: an optimized crystal structure of Dy2B2SbRh5 at the PBE level of DFT. Values from VASP.

Calculated values
- Total magnetic moment: 0.00 μB per formula unit
- Raw formation energy: -799 meV per atom

The structure in Quantum ESPRESSO input format:
```
&SYSTEM
  ibrav = 0, nat = 20, ntyp = 4
/
ATOMIC_SPECIES
Dy 162.50 Dy.upf
B 10.81 B.upf
Sb 121.76 Sb.upf
Rh 102.91 Rh.upf
CELL_PARAMETERS angstrom
3.3177 0.0000 0.0000
0.0000 9.5424 0.0000
0.0000 0.0000 9.5424
ATOMIC_POSITIONS crystal
Dy 0.0000 0.6752 0.1752
Dy 0.0000 0.3248 0.8248
Dy 0.0000 0.1752 0.3248
Dy 0.0000 0.8248 0.6752
B 0.0000 0.1193 0.6193
B 0.0000 0.8807 0.3807
B 0.0000 0.6193 0.8807
B 0.0000 0.3807 0.1193
Sb 0.0000 0.0000 0.0000
Sb 0.0000 0.5000 0.5000
Rh 0.5000 0.2243 0.0710
Rh 0.5000 0.7757 0.9290
Rh 0.5000 0.0710 0.7757
Rh 0.5000 0.7243 0.4290
Rh 0.5000 0.9290 0.2243
Rh 0.5000 0.2757 0.5710
Rh 0.5000 0.5710 0.7243
Rh 0.5000 0.4290 0.2757
Rh 0.5000 0.5000 0.0000
Rh 0.5000 0.0000 0.5000
```

9.
Computed, not measured: an optimized crystal structure of DySc2B2Rh5 at the PBE level of DFT. Values from VASP.

Calculated values
- E_form: -796 meV per atom
- Total magnetic moment: 0.00 μB per formula unit

The structure in Quantum ESPRESSO input format:
```
&SYSTEM
  ibrav = 0, nat = 20, ntyp = 4
/
ATOMIC_SPECIES
Dy 162.50 Dy.upf
Sc 44.96 Sc.upf
B 10.81 B.upf
Rh 102.91 Rh.upf
CELL_PARAMETERS angstrom
3.1805 0.0000 0.0000
0.0000 9.6346 0.0000
0.0000 0.0000 9.6346
ATOMIC_POSITIONS crystal
Dy 0.0000 0.0000 0.0000
Dy 0.0000 0.5000 0.5000
Sc 0.0000 0.6733 0.1733
Sc 0.0000 0.3267 0.8267
Sc 0.0000 0.1733 0.3267
Sc 0.0000 0.8267 0.6733
B 0.0000 0.1222 0.6222
B 0.0000 0.8778 0.3778
B 0.0000 0.6222 0.8778
B 0.0000 0.3778 0.1222
Rh 0.5000 0.2283 0.0723
Rh 0.5000 0.7717 0.9277
Rh 0.5000 0.0723 0.7717
Rh 0.5000 0.7283 0.4277
Rh 0.5000 0.9277 0.2283
Rh 0.5000 0.2717 0.5723
Rh 0.5000 0.5723 0.7283
Rh 0.5000 0.4277 0.2717
Rh 0.5000 0.5000 0.0000
Rh 0.5000 0.0000 0.5000
```

10.
Computed, not measured: an optimized crystal structure of Dy2ScB2Rh5 at the PBE level of DFT. Values from VASP.

Calculated values
- E_form: -849 meV per atom
- Total magnetic moment: 0.00 μB per formula unit

The structure in Quantum ESPRESSO input format:
```
&SYSTEM
  ibrav = 0, nat = 20, ntyp = 4
/
ATOMIC_SPECIES
Dy 162.50 Dy.upf
Sc 44.96 Sc.upf
B 10.81 B.upf
Rh 102.91 Rh.upf
CELL_PARAMETERS angstrom
-2.9099 -0.3998 1.2724
3.7282 -6.0277 6.6322
1.5678 7.5111 5.9451
ATOMIC_POSITIONS crystal
Dy 0.0000 0.6752 0.1752
Dy 0.0000 0.3248 0.8248
Dy 0.0000 0.1752 0.3248
Dy 0.0000 0.8248 0.6752
Sc 0.0000 0.0000 0.0000
Sc 0.0000 0.5000 0.5000
B 0.0000 0.1221 0.6221
B 0.0000 0.8779 0.3779
B 0.0000 0.6221 0.8779
B 0.0000 0.3779 0.1221
Rh 0.5000 0.2256 0.0707
Rh 0.5000 0.7744 0.9293
Rh 0.5000 0.0707 0.7744
Rh 0.5000 0.7256 0.4293
Rh 0.5000 0.9293 0.2256
Rh 0.5000 0.2744 0.5707
Rh 0.5000 0.5707 0.7256
Rh 0.5000 0.4293 0.2744
Rh 0.5000 0.5000 0.0000
Rh 0.5000 0.0000 0.5000
```

11.
Computed, not measured: an optimized crystal structure of Dy3SiB2Rh9 at the PBE level of DFT. Values from VASP.

Calculated values
- Total magnetic moment: 0.00 μB per formula unit
- Raw formation energy: -780 meV per atom

The structure in Quantum ESPRESSO input format:
```
&SYSTEM
  ibrav = 0, nat = 15, ntyp = 4
/
ATOMIC_SPECIES
Dy 162.50 Dy.upf
Si 28.09 Si.upf
B 10.81 B.upf
Rh 102.91 Rh.upf
CELL_PARAMETERS angstrom
-1.1530 -1.9797 5.6080
5.6544 1.4891 -1.5838
-1.2212 6.9974 2.2191
ATOMIC_POSITIONS crystal
Dy 0.3333 0.6667 0.6657
Dy 0.0000 0.0000 0.0000
Dy 0.6667 0.3333 0.3343
Si 0.0000 0.0000 0.5000
B 0.3333 0.6667 0.1507
B 0.6667 0.3333 0.8493
Rh 0.8250 0.1750 0.6794
Rh 0.8250 0.6500 0.6794
Rh 0.3500 0.1750 0.6794
Rh 0.6500 0.8250 0.3206
Rh 0.1750 0.3500 0.3206
Rh 0.1750 0.8250 0.3206
Rh 0.5000 0.0000 0.0000
Rh 0.0000 0.5000 0.0000
Rh 0.5000 0.5000 0.0000
```

12.
Computed, not measured: an optimized crystal structure of Dy2SnB2Rh5 at the PBE level of DFT. Values from VASP.

Calculated values
- E_form: -826 meV per atom
- Total magnetic moment: 0.00 μB per formula unit

The structure in Quantum ESPRESSO input format:
```
&SYSTEM
  ibrav = 0, nat = 20, ntyp = 4
/
ATOMIC_SPECIES
Dy 162.50 Dy.upf
Sn 118.71 Sn.upf
B 10.81 B.upf
Rh 102.91 Rh.upf
CELL_PARAMETERS angstrom
3.2812 0.0000 0.0000
0.0000 9.5775 0.0000
0.0000 0.0000 9.5775
ATOMIC_POSITIONS crystal
Dy 0.0000 0.6756 0.1756
Dy 0.0000 0.3244 0.8244
Dy 0.0000 0.1756 0.3244
Dy 0.0000 0.8244 0.6756
Sn 0.0000 0.0000 0.0000
Sn 0.0000 0.5000 0.5000
B 0.0000 0.1210 0.6210
B 0.0000 0.8790 0.3790
B 0.0000 0.6210 0.8790
B 0.0000 0.3790 0.1210
Rh 0.5000 0.2253 0.0706
Rh 0.5000 0.7747 0.9294
Rh 0.5000 0.0706 0.7747
Rh 0.5000 0.7253 0.4294
Rh 0.5000 0.9294 0.2253
Rh 0.5000 0.2747 0.5706
Rh 0.5000 0.5706 0.7253
Rh 0.5000 0.4294 0.2747
Rh 0.5000 0.5000 0.0000
Rh 0.5000 0.0000 0.5000
```

Question: Which formula does entry 5 have?
Answer: Dy2BRh6